Record 1
DFT (PBE) results for an optimized crystal structure of ThAl2Si.

a b c (Å): 4.5879 4.2649 4.2649
angles (deg): 90.00 90.00 90.00
Fractional coordinates of all 4 atoms:
Al 0.0000 0.5000 0.0000
Th 0.5000 0.0000 0.0000
Al 0.0000 0.0000 0.5000
Si 0.5000 0.5000 0.5000

**SG**: P4/mmm (123)
**Formation energy (no corrections)**: -0.32 eV per atom
**E_tot**: -5.398 eV per atom

---

Record 2
DFT (PBE) results for an optimized crystal structure of Sm2Ge2Pd3.

a b c (Å): 4.0498 5.6174 7.0649
angles (deg): 111.55 90.00 111.13
Fractional coordinates of all 7 atoms:
Pd 0.6236 0.2472 0.4344
Pd 0.3764 0.7528 0.5656
Ge 0.8450 0.6901 0.7790
Sm 0.8694 0.7388 0.2338
Sm 0.1306 0.2612 0.7662
Pd 0.5000 0.0000 0.0000
Ge 0.1550 0.3099 0.2210

**SG**: C2/m (12)
**DFT formation energy**: -584 kJ/mol of formula units
**E_tot**: -5.758 eV per atom